# 1
Computed, not measured: a relaxed PmBiMo crystal at the GGA-PBE level of DFT.

Computed properties:
total magnetization	2.12	Bohr magnetons per cell

Geometry as extended XYZ:
```
3
Lattice="0.000 3.508 3.508 3.508 0.000 3.508 3.508 3.508 0.000" Properties=species:S:1:pos:R:3 pbc="T T T"
Bi 0.000 0.000 0.000
Pm 5.262 5.262 5.262
Mo 1.754 1.754 1.754
```

***

# 2
Computed, not measured: a relaxed Co2Hg crystal at the GGA-PBE level of DFT.

Computed properties:
total magnetization	3.07	Bohr magnetons per cell
formation enthalpy at 0 K	1016	meV per atom

Geometry as extended XYZ:
```
3
Lattice="0.000 2.951 2.951 2.951 0.000 2.951 2.951 2.951 0.000" Properties=species:S:1:pos:R:3 pbc="T T T"
Co 4.426 4.426 4.426
Co 1.475 1.475 1.475
Hg 0.000 0.000 0.000
```

***

Result set for VASP energy: -0.43777 -0.28085 Ry/atom, one per record in the order listed.